Below is a relaxed CaOsW2 crystal, with properties calculated at the GGA-PBE level.

Summary:
calculated total energy: -8.959 eV/atom
magnetic moment: 0.000 μB per atom
volume: 69.5 Å³ per cell

a = 5.481 Å, b = 5.481 Å, c = 2.690 Å
α = 90.00°, β = 90.00°, γ = 120.76°
Element x y z (fractional)
Ca  0.000  0.000  0.000
Os  0.500  0.500  0.000
W  0.000  0.500  0.500
W  0.500  0.000  0.500

Below is a relaxed CaOsW2 crystal, with properties calculated at the GGA-PBE level.

Summary:
calculated total energy: -9.107 eV/atom
magnetic moment: 0.000 μB per atom
volume: 71.1 Å³ per cell

a = 5.572 Å, b = 5.572 Å, c = 5.572 Å
α = 148.34°, β = 127.78°, γ = 62.37°
Element x y z (fractional)
Ca  0.000  0.000  0.000
Os  0.269  0.769  0.500
W  0.489  0.489  0.000
W  0.721  0.221  0.500

Below is a relaxed CaOsW2 crystal, with properties calculated at the GGA-PBE level.

Summary:
calculated total energy: -8.877 eV/atom
magnetic moment: 0.000 μB per atom
volume: 70.0 Å³ per cell

a = 5.389 Å, b = 5.389 Å, c = 5.389 Å
α = 137.74°, β = 137.74°, γ = 61.30°
Element x y z (fractional)
Ca  0.000  0.000  0.000
Os  0.500  0.500  0.000
W  0.250  0.750  0.500
W  0.750  0.250  0.500

Below is a relaxed CaOsW2 crystal, with properties calculated at the GGA-PBE level.

Summary:
calculated total energy: -9.054 eV/atom
magnetic moment: 0.000 μB per atom
volume: 68.7 Å³ per cell

a = 3.136 Å, b = 4.587 Å, c = 4.773 Å
α = 90.00°, β = 90.00°, γ = 90.00°
Element x y z (fractional)
Ca  0.000  0.000  0.000
Os  0.500  0.500  0.000
W  0.000  0.500  0.500
W  0.500  0.000  0.500

Below is a relaxed CaOsW2 crystal, with properties calculated at the GGA-PBE level.

Summary:
calculated total energy: -8.940 eV/atom
magnetic moment: 0.000 μB per atom
volume: 69.8 Å³ per cell

a = 2.790 Å, b = 4.543 Å, c = 5.507 Å
α = 90.00°, β = 90.00°, γ = 90.00°
Element x y z (fractional)
Ca  0.000  0.000  0.000
Os  0.000  0.000  0.500
W  0.500  0.500  0.265
W  0.500  0.500  0.735

Below is a relaxed Ca3OsW crystal, with properties calculated at the GGA-PBE level.

Summary:
calculated total energy: -4.059 eV/atom
magnetic moment: 0.600 μB per atom
volume: 153.8 Å³ per cell

a = 5.357 Å, b = 5.357 Å, c = 5.357 Å
α = 90.00°, β = 90.00°, γ = 90.00°
Element x y z (fractional)
Ca  0.000  0.000  0.500
Ca  0.000  0.500  0.000
Ca  0.500  0.000  0.000
Os  0.500  0.500  0.500
W  0.000  0.000  0.000

Below is a relaxed CaOsW2 crystal, with properties calculated at the GGA-PBE level.

Summary:
calculated total energy: -9.138 eV/atom
magnetic moment: 0.000 μB per atom
volume: 76.0 Å³ per cell

a = 5.209 Å, b = 5.209 Å, c = 5.316 Å
α = 106.27°, β = 106.27°, γ = 33.43°
Element x y z (fractional)
Ca  0.000  0.000  0.000
Os  0.771  0.771  0.300
W  0.212  0.212  0.668
W  0.486  0.486  0.487

Below is a relaxed CaOsW2 crystal, with properties calculated at the GGA-PBE level.

Summary:
calculated total energy: -9.250 eV/atom
magnetic moment: 0.000 μB per atom
volume: 70.1 Å³ per cell

a = 5.614 Å, b = 5.614 Å, c = 5.614 Å
α = 148.13°, β = 130.76°, γ = 59.85°
Element x y z (fractional)
Ca  0.000  0.000  0.000
Os  0.500  0.500  0.000
W  0.271  0.771  0.500
W  0.729  0.229  0.500

Number 1: energy of formation 0.826 eV/atom. Number 2: energy of formation 0.677 eV/atom. Number 3: energy of formation 0.908 eV/atom. Number 4: energy of formation 0.730 eV/atom. Number 5: energy of formation 0.845 eV/atom. Number 6: energy of formation 1.979 eV/atom. Number 7: energy of formation 0.647 eV/atom. Number 8: energy of formation 0.534 eV/atom.